Entry 1
A plane-wave DFT calculation with meta-GGA SCAN was carried out for a crystal of Tl2CrIn relaxed with PBEsol.

a = 5.6039 Å, b = 5.6039 Å, c = 5.6039 Å
α = 133.12°, β = 133.12°, γ = 68.47°
Positions (direct):
Tl  0.0000  0.0000  0.0000
Tl  0.7500  0.2500  0.5000
Cr  0.5000  0.5000  0.0000
In  0.2500  0.7500  0.5000

Summary:
SG = I-4m2, No. 119
D(E_F) = 1.7 states/eV/f.u.

---

Entry 2
A plane-wave DFT calculation with meta-GGA SCAN was carried out for a crystal of Tl2CrIn relaxed with PBEsol.

a = 7.2956 Å, b = 7.2956 Å, c = 7.2956 Å
α = 155.44°, β = 143.19°, γ = 44.75°
Positions (direct):
Tl  0.1837  0.1837  0.0000
Tl  0.8163  0.8163  0.0000
Cr  0.0000  0.5000  0.5000
In  0.5000  0.0000  0.5000

Summary:
SG = Immm, No. 71
D(E_F) = 2.1 states/eV/f.u.

---

Stability verdict: entry 2, ahead by 0.084 eV/atom

---

Entry 1
A plane-wave DFT calculation with meta-GGA SCAN was carried out for a crystal of BeCo2Tc relaxed with PBEsol.

a = 4.3235 Å, b = 4.3235 Å, c = 4.3235 Å
α = 133.39°, β = 133.39°, γ = 68.04°
Positions (direct):
Be  0.0000  0.0000  0.0000
Co  0.5000  0.5000  0.0000
Co  0.7500  0.2500  0.5000
Tc  0.2500  0.7500  0.5000

Summary:
SG = I-4m2, No. 119
D(E_F) = 2.8 states/eV/f.u.

---

Entry 2
A plane-wave DFT calculation with meta-GGA SCAN was carried out for a crystal of BeCo2Tc relaxed with PBEsol.

a = 2.5355 Å, b = 3.4393 Å, c = 4.8263 Å
α = 90.00°, β = 90.00°, γ = 90.00°
Positions (direct):
Be  0.0000  0.0000  0.0000
Co  0.5000  0.5000  0.2356
Co  0.5000  0.5000  0.7644
Tc  0.0000  0.0000  0.5000

Summary:
SG = Pmmm, No. 47
D(E_F) = 3.1 states/eV/f.u.

---

Stability verdict: entry 2, ahead by 0.011 eV/atom